[1]
The following is a GGA-PBE calculation of a geometry-optimized TbSi3Ni5 structure, from Alexandria.

```
TbSi3Ni5
1.0
1.832 -5.842 0.000
1.832 5.842 0.000
0.000 0.000 11.559
Tb Si Ni
2 6 10
Direct
0.159 0.841 0.750
0.841 0.159 0.250
0.114 0.886 0.250
0.383 0.617 0.040
0.383 0.617 0.460
0.617 0.383 0.540
0.617 0.383 0.960
0.886 0.114 0.750
0.000 0.000 0.000
0.000 0.000 0.500
0.197 0.803 0.068
0.197 0.803 0.432
0.449 0.551 0.646
0.449 0.551 0.854
0.551 0.449 0.146
0.551 0.449 0.354
0.803 0.197 0.568
0.803 0.197 0.932
```

## Properties
electronic total energy	-6.211	eV/atom
crystal system	orthorhombic
symmetry	Cmcm

---

[2]
The following is a GGA-PBE calculation of a geometry-optimized TcMo2Ir structure, from Alexandria.

```
TcMo2Ir
1.0
2.783 0.000 0.000
0.000 2.783 0.000
0.000 0.000 7.851
Tc Mo Ir
1 2 1
Direct
0.000 0.000 0.000
0.500 0.500 0.250
0.500 0.500 0.750
0.000 0.000 0.500
```

## Properties
energy of formation from the pure elements	-0.029	eV/atom
crystal system	tetragonal
symmetry	P4/mmm

---

[3]
The following is a GGA-PBE calculation of a geometry-optimized CaScMn2 structure, from Alexandria.

```
CaScMn2
1.0
0.000 3.479 3.479
3.479 0.000 3.479
3.479 3.479 0.000
Ca Sc Mn
1 1 2
Direct
0.000 0.000 0.000
0.500 0.500 0.500
0.250 0.250 0.250
0.750 0.750 0.750
```

## Properties
energy of formation from the pure elements	0.413	eV/atom
crystal system	cubic
symmetry	Fm-3m

---

[4]
The following is a GGA-PBE calculation of a geometry-optimized HgGe2Rh2 structure, from Alexandria.

```
HgGe2Rh2
1.0
-1.896 1.896 6.025
1.896 -1.896 6.025
1.896 1.896 -6.025
Hg Ge Rh
1 2 2
Direct
0.000 0.000 0.000
0.250 0.750 0.500
0.750 0.250 0.500
0.384 0.384 0.000
0.616 0.616 0.000
```

## Properties
energy of formation from the pure elements	-0.214	eV/atom
crystal system	tetragonal
symmetry	I4/mmm

---

[5]
The following is a GGA-PBE calculation of a geometry-optimized TcIrRh3 structure, from Alexandria.

```
TcIrRh3
1.0
4.576 0.000 0.000
0.000 4.576 0.000
0.000 0.000 4.576
Tc Ir Rh
1 1 3
Direct
0.000 0.000 0.000
0.500 0.500 0.500
0.000 0.000 0.500
0.000 0.500 0.000
0.500 0.000 0.000
```

## Properties
energy of formation from the pure elements	1.668	eV/atom
crystal system	cubic
symmetry	Pm-3m

---

[6]
The following is a GGA-PBE calculation of a geometry-optimized AlAg2O structure, from Alexandria.

```
AlAg2O
1.0
0.000 3.109 3.109
3.109 0.000 3.109
3.109 3.109 0.000
Al Ag O
1 2 1
Direct
0.000 0.000 0.000
0.250 0.250 0.250
0.750 0.750 0.750
0.500 0.500 0.500
```

## Properties
electronic total energy	-3.492	eV/atom
crystal system	cubic
symmetry	Fm-3m

---

[7]
The following is a GGA-PBE calculation of a geometry-optimized BaAc2La structure, from Alexandria.

```
BaAc2La
1.0
5.671 0.000 0.000
0.000 5.671 0.000
0.000 0.000 5.633
Ba Ac La
1 2 1
Direct
0.000 0.000 0.000
0.000 0.500 0.500
0.500 0.000 0.500
0.500 0.500 0.000
```

## Properties
energy of formation from the pure elements	0.120	eV/atom
crystal system	tetragonal
symmetry	P4/mmm

---

[8]
The following is a GGA-PBE calculation of a geometry-optimized Nb2HgN4 structure, from Alexandria.

```
Nb2HgN4
1.0
-2.154 2.154 5.697
2.154 -2.154 5.697
2.154 2.154 -5.697
Nb Hg N
2 1 4
Direct
0.118 0.118 0.000
0.882 0.882 0.000
0.500 0.500 0.000
0.000 0.500 0.500
0.270 0.270 0.000
0.500 0.000 0.500
0.730 0.730 0.000
```

## Properties
electronic total energy	-6.725	eV/atom
crystal system	tetragonal
symmetry	I4/mmm

---

[9]
The following is a GGA-PBE calculation of a geometry-optimized DyScPt2 structure, from Alexandria.

```
DyScPt2
1.0
3.345 0.000 0.000
0.000 3.345 0.000
0.000 0.000 7.002
Dy Sc Pt
1 1 2
Direct
0.000 0.000 0.000
0.000 0.000 0.500
0.500 0.500 0.272
0.500 0.500 0.728
```

## Properties
energy of formation from the pure elements	-1.212	eV/atom
crystal system	tetragonal
symmetry	P4/mmm

---

[10]
The following is a GGA-PBE calculation of a geometry-optimized Sr2GaSnSb structure, from Alexandria.

```
Sr2GaSnSb
1.0
7.907 0.000 0.000
0.000 4.612 0.000
-2.723 0.000 9.508
Sr Ga Sn Sb
4 2 2 2
Direct
0.194 0.250 0.418
0.260 0.250 0.980
0.740 0.750 0.020
0.806 0.750 0.582
0.496 0.750 0.272
0.504 0.250 0.728
0.307 0.750 0.704
0.693 0.250 0.296
0.154 0.750 0.179
0.846 0.250 0.821
```

## Properties
electronic total energy	-3.507	eV/atom
crystal system	monoclinic
symmetry	P2_1/m

---

[11]
The following is a GGA-PBE calculation of a geometry-optimized VCdH structure, from Alexandria.

```
VCdH
1.0
2.455 -1.469 0.000
2.455 1.469 0.000
-0.806 0.000 10.888
V Cd H
2 2 2
Direct
0.000 0.000 0.000
0.530 0.530 0.178
0.635 0.635 0.718
0.918 0.918 0.443
0.208 0.208 0.247
0.655 0.655 0.925
```

## Properties
electronic total energy	-4.469	eV/atom
crystal system	monoclinic
symmetry	Cm

---

[12]
The following is a GGA-PBE calculation of a geometry-optimized Sr2TlReO6 structure, from Alexandria.

```
Sr2TlReO6
1.0
3.027 1.748 5.491
-3.027 1.748 5.491
0.000 -3.496 5.491
Sr Tl Re O
2 1 1 6
Direct
0.000 0.000 0.000
0.486 0.486 0.486
0.224 0.224 0.224
0.686 0.686 0.686
0.010 0.481 0.742
0.351 0.852 0.627
0.481 0.742 0.010
0.627 0.351 0.852
0.742 0.010 0.481
0.852 0.627 0.351
```

## Properties
electronic total energy	-6.845	eV/atom
crystal system	trigonal
symmetry	R3

---

[13]
The following is a GGA-PBE calculation of a geometry-optimized Ba3Np2AgO9 structure, from Alexandria.

```
Ba3Np2AgO9
1.0
6.192 0.000 0.000
-3.096 5.362 0.000
0.000 0.000 7.667
Ba Np Ag O
3 2 1 9
Direct
0.000 0.000 0.000
0.333 0.667 0.641
0.667 0.333 0.359
0.333 0.667 0.163
0.667 0.333 0.837
0.000 0.000 0.500
0.000 0.500 0.000
0.179 0.357 0.317
0.179 0.821 0.317
0.357 0.179 0.683
0.500 0.000 0.000
0.500 0.500 0.000
0.643 0.821 0.317
0.821 0.179 0.683
0.821 0.643 0.683
```

## Properties
electronic total energy	-7.899	eV/atom
crystal system	trigonal
symmetry	P-3m1

---

[14]
The following is a GGA-PBE calculation of a geometry-optimized Tm2ScAl2Pd5 structure, from Alexandria.

```
Tm2ScAl2Pd5
1.0
9.983 0.000 0.000
0.000 9.983 0.000
0.000 0.000 3.657
Tm Sc Al Pd
4 2 4 10
Direct
0.175 0.325 0.000
0.325 0.825 0.000
0.675 0.175 0.000
0.825 0.675 0.000
0.000 0.000 0.000
0.500 0.500 0.000
0.122 0.622 0.000
0.378 0.122 0.000
0.622 0.878 0.000
0.878 0.378 0.000
0.000 0.500 0.500
0.065 0.791 0.500
0.209 0.065 0.500
0.291 0.565 0.500
0.435 0.291 0.500
0.500 0.000 0.500
0.565 0.709 0.500
0.709 0.435 0.500
0.791 0.935 0.500
0.935 0.209 0.500
```

## Properties
energy of formation from the pure elements	-0.870	eV/atom
crystal system	tetragonal
symmetry	P4/mbm

---

[15]
The following is a GGA-PBE calculation of a geometry-optimized TbY4Ho2Sc structure, from Alexandria.

```
TbY4Ho2Sc
1.0
4.980 0.000 0.000
0.000 4.980 0.000
0.000 0.000 9.955
Tb Y Ho Sc
1 4 2 1
Direct
0.000 0.000 0.000
0.000 0.500 0.255
0.000 0.500 0.745
0.500 0.000 0.255
0.500 0.000 0.745
0.000 0.000 0.500
0.500 0.500 0.000
0.500 0.500 0.500
```

## Properties
energy of formation from the pure elements	0.035	eV/atom
crystal system	tetragonal
symmetry	P4/mmm

---

[16]
The following is a GGA-PBE calculation of a geometry-optimized Ce3Si2Ge3 structure, from Alexandria.

```
Ce3Si2Ge3
1.0
2.033 -5.507 0.000
2.033 5.507 0.000
0.000 0.000 15.780
Ce Si Ge
6 4 6
Direct
0.076 0.924 0.750
0.363 0.637 0.591
0.363 0.637 0.909
0.637 0.363 0.091
0.637 0.363 0.409
0.924 0.076 0.250
0.341 0.659 0.125
0.341 0.659 0.375
0.659 0.341 0.625
0.659 0.341 0.875
0.082 0.918 0.557
0.082 0.918 0.943
0.196 0.804 0.250
0.804 0.196 0.750
0.918 0.082 0.057
0.918 0.082 0.443
```

## Properties
electronic total energy	-5.921	eV/atom
crystal system	orthorhombic
symmetry	Cmcm

---

[17]
The following is a GGA-PBE calculation of a geometry-optimized Re4AgSe structure, from Alexandria.

```
Re4AgSe
1.0
0.000 3.717 3.717
3.717 0.000 3.717
3.717 3.717 0.000
Re Ag Se
4 1 1
Direct
0.125 0.125 0.125
0.125 0.125 0.625
0.125 0.625 0.125
0.625 0.125 0.125
0.500 0.500 0.500
0.750 0.750 0.750
```

## Properties
electronic total energy	-8.437	eV/atom
crystal system	cubic
symmetry	F-43m

---

[18]
The following is a GGA-PBE calculation of a geometry-optimized K3Ga2F9 structure, from Alexandria.

```
K3Ga2F9
1.0
5.916 0.000 0.000
-2.958 5.124 0.000
0.000 0.000 15.290
K Ga F
6 4 18
Direct
0.000 0.000 0.250
0.000 0.000 0.750
0.333 0.667 0.070
0.333 0.667 0.430
0.667 0.333 0.570
0.667 0.333 0.930
0.333 0.667 0.657
0.333 0.667 0.843
0.667 0.333 0.157
0.667 0.333 0.343
0.049 0.524 0.750
0.177 0.355 0.597
0.177 0.355 0.903
0.177 0.823 0.597
0.177 0.823 0.903
0.355 0.177 0.097
0.355 0.177 0.403
0.476 0.524 0.750
0.476 0.951 0.750
0.524 0.049 0.250
0.524 0.476 0.250
0.645 0.823 0.597
0.645 0.823 0.903
0.823 0.177 0.097
0.823 0.177 0.403
0.823 0.645 0.097
0.823 0.645 0.403
0.951 0.476 0.250
```

## Properties
electronic total energy	-4.624	eV/atom
crystal system	hexagonal
symmetry	P6_3/mmc

---

[19]
The following is a GGA-PBE calculation of a geometry-optimized Pm4Sm6Sc structure, from Alexandria.

```
Pm4Sm6Sc
1.0
2.927 -4.838 0.000
2.927 4.838 0.000
0.000 0.000 25.739
Pm Sm Sc
8 12 2
Direct
0.048 0.952 0.623
0.048 0.952 0.877
0.352 0.648 0.545
0.352 0.648 0.955
0.648 0.352 0.045
0.648 0.352 0.455
0.952 0.048 0.123
0.952 0.048 0.377
0.000 0.000 0.000
0.000 0.000 0.500
0.046 0.954 0.750
0.297 0.703 0.108
0.297 0.703 0.392
0.377 0.623 0.684
0.377 0.623 0.816
0.623 0.377 0.184
0.623 0.377 0.316
0.703 0.297 0.608
0.703 0.297 0.892
0.954 0.046 0.250
0.291 0.709 0.250
0.709 0.291 0.750
```

## Properties
energy of formation from the pure elements	0.127	eV/atom
crystal system	orthorhombic
symmetry	Cmcm

---

[20]
The following is a GGA-PBE calculation of a geometry-optimized NaTlGeO4 structure, from Alexandria.

```
NaTlGeO4
1.0
3.137 -4.954 0.000
3.137 4.954 0.000
0.000 0.000 6.603
Na Tl Ge O
2 2 2 8
Direct
0.000 0.000 0.000
0.000 0.000 0.500
0.340 0.660 0.750
0.660 0.340 0.250
0.361 0.639 0.250
0.639 0.361 0.750
0.245 0.755 0.041
0.245 0.755 0.459
0.256 0.305 0.250
0.305 0.256 0.750
0.695 0.744 0.250
0.744 0.695 0.750
0.755 0.245 0.541
0.755 0.245 0.959
```

## Properties
electronic total energy	-5.329	eV/atom
crystal system	orthorhombic
symmetry	Cmcm